# GGA-PBE TlIn2I8, relaxed
data_TlIn2I8
_chemical_formula_sum 'Tl2 In4 I16'
_symmetry_space_group_name_H-M 'C 1 2/m 1'
_symmetry_Int_Tables_number 12
_symmetry_space_group_name_Hall '-C 2y'
_cell_length_a 14.3437
_cell_length_b 10.8090
_cell_length_c 7.4586
_cell_angle_alpha 90.00
_cell_angle_beta 97.93
_cell_angle_gamma 90.00
loop_
_atom_site_label
_atom_site_type_symbol
_atom_site_fract_x
_atom_site_fract_y
_atom_site_fract_z
Tl1 Tl 0.0000 0.0000 0.0000
In1 In 0.2054 0.0000 0.6585
I1 I 0.1062 0.2022 0.7677
I2 I 0.1091 0.5000 0.2047
I3 I 0.1990 0.0000 0.2827
# VASP energy: -2.281 eV per atom
# Uncorrected formation energy: -0.441 eV per atom



# GGA-PBE Tl2In2I5, relaxed
data_Tl2In2I5
_chemical_formula_sum 'Tl8 In8 I20'
_symmetry_space_group_name_H-M 'C m c e'
_symmetry_Int_Tables_number 64
_symmetry_space_group_name_Hall '-C 2ac 2'
_cell_length_a 16.3741
_cell_length_b 9.1702
_cell_length_c 9.4665
_cell_angle_alpha 90.00
_cell_angle_beta 90.00
_cell_angle_gamma 90.00
loop_
_atom_site_label
_atom_site_type_symbol
_atom_site_fract_x
_atom_site_fract_y
_atom_site_fract_z
Tl1 Tl 0.0000 0.1463 0.1481
In1 In 0.1984 0.0000 0.5000
I1 I 0.0000 0.0000 0.5000
I2 I 0.1449 0.1680 0.8535
# Polymorph energy (0 for the lowest one): 0.042 eV per atom
# VASP energy: -2.464 eV per atom
# Uncorrected formation energy: -0.469 eV per atom